No. 1
VASP calculation (PBE-GGA) on crystalline Ta3AgO at its relaxed geometry.

Results
- E above lowest polymorph (meV per atom) = 0
- calculated total energy (eV per atom) = -9.016

Unit cell a=4.264 b=4.264 c=4.264 alpha=90.00 beta=90.00 gamma=90.00
Fractional positions:
Ta: 0.000 0.000 0.500
Ta: 0.000 0.500 0.000
Ta: 0.500 0.000 0.000
Ag: 0.500 0.500 0.500
O: 0.000 0.000 0.000



No. 2
VASP calculation (PBE-GGA) on crystalline Na4Pu3ZrS8 at its relaxed geometry.

Results
- calculated total energy (eV per atom) = -7.153

Unit cell a=8.079 b=8.079 c=8.079 alpha=58.79 beta=58.79 gamma=58.79
Fractional positions:
Na: 0.000 0.000 0.000
Na: 0.000 0.500 0.500
Na: 0.500 0.000 0.500
Na: 0.500 0.500 0.000
Pu: 0.000 0.000 0.500
Pu: 0.000 0.500 0.000
Pu: 0.500 0.000 0.000
Zr: 0.500 0.500 0.500
S: 0.243 0.243 0.243
S: 0.257 0.734 0.734
S: 0.266 0.266 0.743
S: 0.266 0.743 0.266
S: 0.734 0.257 0.734
S: 0.734 0.734 0.257
S: 0.743 0.266 0.266
S: 0.757 0.757 0.757



Sequential energy relative to the elements, uncorrected output: -33.07 -148.40 kJ per mole of atoms